(1)
VASP calculation (PBE) on an optimized crystal structure of La4CePm.

Unit cell a=6.100 b=6.100 c=11.667 alpha=117.27 beta=117.27 gamma=33.46
Sites, in units of the cell vectors:
La1 0.159 0.159 0.333
La2 0.340 0.340 0.155
La3 0.660 0.660 0.845
La4 0.841 0.841 0.667
Ce1 0.000 0.000 0.000
Pm1 0.500 0.500 0.500

Values from the calculation:
* E_form: 177 meV per atom
* symmetry: C2/m
* final energy: -4.889 eV per atom
* density of states at the Fermi level: 2.304 states/eV/atom

***

(2)
VASP calculation (PBE) on an optimized crystal structure of FeSb8Ir2.

Unit cell a=5.232 b=7.568 c=7.721 alpha=69.78 beta=89.62 gamma=89.53
Sites, in units of the cell vectors:
Fe1 0.000 0.000 0.000
Sb1 0.247 0.617 0.559
Sb2 0.278 0.165 0.161
Sb3 0.286 0.116 0.717
Sb4 0.289 0.712 0.134
Sb5 0.711 0.288 0.866
Sb6 0.714 0.884 0.283
Sb7 0.722 0.835 0.839
Sb8 0.753 0.383 0.441
Ir1 0.244 0.360 0.376
Ir2 0.756 0.640 0.624

Values from the calculation:
* symmetry: P-1
* final energy: -5.332 eV per atom
* density of states at the Fermi level: 0.749 states/eV/atom

***

(3)
VASP calculation (PBE) on an optimized crystal structure of BaZrNi2.

Unit cell a=6.345 b=6.345 c=6.345 alpha=108.06 beta=108.06 gamma=112.33
Sites, in units of the cell vectors:
Ba1 0.000 0.000 0.000
Ba2 0.750 0.250 0.500
Zr1 0.250 0.750 0.500
Zr2 0.500 0.500 0.000
Ni1 0.187 0.625 0.062
Ni2 0.375 0.437 0.562
Ni3 0.563 0.125 0.938
Ni4 0.875 0.813 0.438

Values from the calculation:
* E_form: 398 meV per atom
* symmetry: I-42d
* final energy: -5.110 eV per atom
* density of states at the Fermi level: 0.939 states/eV/atom
* relative energy among the computed polymorphs: 487.0 meV per atom

***

(4)
VASP calculation (PBE) on an optimized crystal structure of CaHgIr2.

Unit cell a=6.047 b=6.047 c=6.047 alpha=151.31 beta=133.02 gamma=55.98
Sites, in units of the cell vectors:
Ca1 0.000 0.000 0.000
Hg1 0.290 0.790 0.500
Ir1 0.525 0.525 0.000
Ir2 0.722 0.222 0.500

Values from the calculation:
* E_form: 105 meV per atom
* symmetry: Imm2
* final energy: -4.902 eV per atom
* density of states at the Fermi level: 0.823 states/eV/atom

***

(5)
VASP calculation (PBE) on an optimized crystal structure of Dy5Tl2Pt.

Unit cell a=7.400 b=12.511 c=4.767 alpha=90.00 beta=90.00 gamma=90.00
Sites, in units of the cell vectors:
Dy1 0.000 0.000 0.000
Dy2 0.136 0.289 0.000
Dy3 0.179 0.578 0.500
Dy4 0.321 0.078 0.500
Dy5 0.364 0.789 0.000
Dy6 0.500 0.500 0.000
Dy7 0.636 0.211 0.000
Dy8 0.679 0.922 0.500
Dy9 0.821 0.422 0.500
Dy10 0.864 0.711 0.000
Tl1 0.087 0.835 0.500
Tl2 0.413 0.335 0.500
Tl3 0.587 0.665 0.500
Tl4 0.913 0.165 0.500
Pt1 0.000 0.500 0.000
Pt2 0.500 0.000 0.000

Values from the calculation:
* E_form: -538 meV per atom
* symmetry: Pbam
* final energy: -4.761 eV per atom
* density of states at the Fermi level: 0.912 states/eV/atom
* relative energy among the computed polymorphs: 0.0 meV per atom

***

(6)
VASP calculation (PBE) on an optimized crystal structure of LiCaAg5.

Unit cell a=5.319 b=5.319 c=5.935 alpha=90.00 beta=90.00 gamma=117.11
Sites, in units of the cell vectors:
Li1 0.000 0.000 0.000
Ca1 0.500 0.500 0.500
Ag1 0.000 0.500 0.240
Ag2 0.000 0.500 0.760
Ag3 0.500 0.000 0.240
Ag4 0.500 0.000 0.760
Ag5 0.500 0.500 0.000

Values from the calculation:
* E_form: -71 meV per atom
* symmetry: Cmmm
* final energy: -2.667 eV per atom
* density of states at the Fermi level: 0.226 states/eV/atom

***

(7)
VASP calculation (PBE) on an optimized crystal structure of ThZnCuNi.

Unit cell a=5.201 b=5.201 c=5.201 alpha=48.50 beta=48.50 gamma=48.50
Sites, in units of the cell vectors:
Th1 0.000 0.000 0.000
Zn1 0.506 0.506 0.506
Cu1 0.792 0.792 0.792
Ni1 0.207 0.207 0.207

Values from the calculation:
* E_form: -307 meV per atom
* symmetry: R3m
* final energy: -4.950 eV per atom
* density of states at the Fermi level: 0.823 states/eV/atom
* relative energy among the computed polymorphs: 0.0 meV per atom

***

(8)
VASP calculation (PBE) on an optimized crystal structure of SrSm2TmS4.

Unit cell a=6.966 b=3.994 c=6.993 alpha=90.00 beta=109.00 gamma=90.00
Sites, in units of the cell vectors:
Sr1 0.000 0.000 0.000
Sm1 0.000 0.500 0.500
Sm2 0.500 0.000 0.500
Tm1 0.500 0.500 0.000
S1 0.263 0.500 0.251
S2 0.264 0.000 0.758
S3 0.736 0.000 0.242
S4 0.737 0.500 0.749

Values from the calculation:
* symmetry: P2/m
* final energy: -5.999 eV per atom
* density of states at the Fermi level: 0.339 states/eV/atom

***

(9)
VASP calculation (PBE) on an optimized crystal structure of LaTlMo.

Unit cell a=4.970 b=4.970 c=3.719 alpha=90.00 beta=90.00 gamma=120.00
Sites, in units of the cell vectors:
La1 0.000 0.000 0.000
Tl1 0.333 0.667 0.500
Mo1 0.667 0.333 0.500

Values from the calculation:
* E_form: 499 meV per atom
* symmetry: P-6m2
* final energy: -5.543 eV per atom
* density of states at the Fermi level: 1.139 states/eV/atom
* relative energy among the computed polymorphs: 46.1 meV per atom

***

(10)
VASP calculation (PBE) on an optimized crystal structure of Na14Pb2S9.

Unit cell a=8.213 b=8.213 c=11.367 alpha=90.00 beta=90.00 gamma=120.00
Sites, in units of the cell vectors:
Na1 0.000 0.000 0.245
Na2 0.000 0.000 0.755
Na3 0.031 0.683 0.408
Na4 0.042 0.366 0.090
Na5 0.317 0.349 0.408
Na6 0.324 0.958 0.090
Na7 0.349 0.031 0.592
Na8 0.366 0.324 0.910
Na9 0.634 0.676 0.090
Na10 0.651 0.969 0.408
Na11 0.676 0.042 0.910
Na12 0.683 0.651 0.592
Na13 0.958 0.634 0.910
Na14 0.969 0.317 0.592
Pb1 0.333 0.667 0.756
Pb2 0.667 0.333 0.244
S1 0.000 0.000 0.500
S2 0.022 0.331 0.841
S3 0.309 0.978 0.841
S4 0.331 0.309 0.159
S5 0.333 0.667 0.509
S6 0.667 0.333 0.491
S7 0.669 0.691 0.841
S8 0.691 0.022 0.159
S9 0.978 0.669 0.159

Values from the calculation:
* symmetry: P-3
* final energy: -3.469 eV per atom
* density of states at the Fermi level: 0.000 states/eV/atom

***

(11)
VASP calculation (PBE) on an optimized crystal structure of Ba6In2AuO.

Unit cell a=8.353 b=11.801 c=8.357 alpha=90.00 beta=90.00 gamma=90.00
Sites, in units of the cell vectors:
Ba1 0.017 0.250 0.020
Ba2 0.018 0.250 0.485
Ba3 0.250 0.017 0.252
Ba4 0.250 0.483 0.252
Ba5 0.482 0.250 0.485
Ba6 0.483 0.250 0.020
Ba7 0.517 0.750 0.980
Ba8 0.518 0.750 0.515
Ba9 0.750 0.517 0.748
Ba10 0.750 0.983 0.748
Ba11 0.982 0.750 0.515
Ba12 0.983 0.750 0.980
In1 0.250 0.000 0.748
In2 0.250 0.500 0.748
In3 0.750 0.000 0.252
In4 0.750 0.500 0.252
Au1 0.250 0.750 0.248
Au2 0.750 0.250 0.752
O1 0.250 0.250 0.251
O2 0.750 0.750 0.749

Values from the calculation:
* symmetry: Pmmn
* final energy: -3.229 eV per atom
* density of states at the Fermi level: 1.017 states/eV/atom

***

(12)
VASP calculation (PBE) on an optimized crystal structure of MoRh3N.

Unit cell a=4.703 b=4.703 c=4.703 alpha=90.00 beta=90.00 gamma=90.00
Sites, in units of the cell vectors:
Mo1 0.000 0.000 0.000
Rh1 0.000 0.000 0.500
Rh2 0.000 0.500 0.000
Rh3 0.500 0.000 0.000
N1 0.500 0.500 0.500

Values from the calculation:
* symmetry: Pm-3m
* final energy: -5.981 eV per atom
* density of states at the Fermi level: 0.786 states/eV/atom
* relative energy among the computed polymorphs: 1829.0 meV per atom

***

(13)
VASP calculation (PBE) on an optimized crystal structure of NaZrBr6.

Unit cell a=7.929 b=7.929 c=7.929 alpha=60.00 beta=60.00 gamma=60.00
Sites, in units of the cell vectors:
Na1 0.000 0.000 0.000
Zr1 0.500 0.500 0.500
Br1 0.265 0.265 0.735
Br2 0.265 0.735 0.265
Br3 0.265 0.735 0.735
Br4 0.735 0.265 0.265
Br5 0.735 0.265 0.735
Br6 0.735 0.735 0.265

Values from the calculation:
* symmetry: Fm-3m
* final energy: -3.601 eV per atom
* density of states at the Fermi level: 1.563 states/eV/atom

***

(14)
VASP calculation (PBE) on an optimized crystal structure of AcAlCu.

Unit cell a=5.664 b=4.310 c=12.154 alpha=90.00 beta=90.00 gamma=90.00
Sites, in units of the cell vectors:
Ac1 0.119 0.250 0.137
Ac2 0.381 0.750 0.637
Ac3 0.619 0.250 0.363
Ac4 0.881 0.750 0.863
Al1 0.129 0.750 0.360
Al2 0.371 0.250 0.860
Al3 0.629 0.750 0.140
Al4 0.871 0.250 0.640
Cu1 0.114 0.250 0.465
Cu2 0.386 0.750 0.965
Cu3 0.614 0.250 0.035
Cu4 0.886 0.750 0.535

Values from the calculation:
* E_form: -276 meV per atom
* symmetry: Pnma
* final energy: -4.259 eV per atom
* density of states at the Fermi level: 0.864 states/eV/atom
* relative energy among the computed polymorphs: 17.9 meV per atom

***

(15)
VASP calculation (PBE) on an optimized crystal structure of Cs3NdBr6.

Unit cell a=8.547 b=8.547 c=8.897 alpha=117.61 beta=117.61 gamma=61.04
Sites, in units of the cell vectors:
Cs1 0.000 0.000 0.000
Cs2 0.243 0.243 0.721
Cs3 0.757 0.757 0.279
Nd1 0.500 0.500 0.500
Br1 0.194 0.664 0.648
Br2 0.287 0.287 0.171
Br3 0.336 0.806 0.352
Br4 0.664 0.194 0.648
Br5 0.713 0.713 0.829
Br6 0.806 0.336 0.352

Values from the calculation:
* symmetry: C2/m
* final energy: -3.601 eV per atom
* density of states at the Fermi level: 0.000 states/eV/atom
* relative energy among the computed polymorphs: 8.5 meV per atom

***

(16)
VASP calculation (PBE) on an optimized crystal structure of Er2Pd7Pt.

Unit cell a=8.412 b=8.412 c=3.781 alpha=90.00 beta=90.00 gamma=128.38
Sites, in units of the cell vectors:
Er1 0.190 0.810 0.000
Er2 0.810 0.190 0.000
Pd1 0.000 0.000 0.000
Pd2 0.216 0.405 0.000
Pd3 0.317 0.683 0.500
Pd4 0.405 0.216 0.000
Pd5 0.595 0.784 0.000
Pd6 0.683 0.317 0.500
Pd7 0.784 0.595 0.000
Pt1 0.500 0.500 0.500

Values from the calculation:
* E_form: -109 meV per atom
* symmetry: Cmmm
* final energy: -5.260 eV per atom
* density of states at the Fermi level: 0.861 states/eV/atom

***

(17)
VASP calculation (PBE) on an optimized crystal structure of Sn4SbPt.

Unit cell a=6.391 b=6.391 c=8.609 alpha=95.00 beta=95.00 gamma=106.77
Sites, in units of the cell vectors:
Sn1 0.133 0.711 0.907
Sn2 0.249 0.309 0.466
Sn3 0.289 0.867 0.593
Sn4 0.309 0.249 0.966
Sn5 0.691 0.751 0.034
Sn6 0.711 0.133 0.407
Sn7 0.751 0.691 0.534
Sn8 0.867 0.289 0.093
Sb1 0.302 0.698 0.250
Sb2 0.698 0.302 0.750
Pt1 0.434 0.566 0.750
Pt2 0.566 0.434 0.250

Values from the calculation:
* symmetry: C2/c
* final energy: -4.503 eV per atom
* density of states at the Fermi level: 0.358 states/eV/atom

***

(18)
VASP calculation (PBE) on an optimized crystal structure of BiPb3F.

Unit cell a=6.121 b=6.121 c=6.121 alpha=90.00 beta=90.00 gamma=90.00
Sites, in units of the cell vectors:
Bi1 0.000 0.000 0.000
Pb1 0.000 0.000 0.500
Pb2 0.000 0.500 0.000
Pb3 0.500 0.000 0.000
F1 0.500 0.500 0.500

Values from the calculation:
* symmetry: Pm-3m
* final energy: -3.078 eV per atom
* density of states at the Fermi level: 0.770 states/eV/atom

***

(19)
VASP calculation (PBE) on an optimized crystal structure of ZrHg2Pb.

Unit cell a=6.559 b=6.559 c=6.559 alpha=102.42 beta=102.42 gamma=124.74
Sites, in units of the cell vectors:
Zr1 0.000 0.000 0.000
Zr2 0.750 0.250 0.500
Hg1 0.114 0.625 0.989
Hg2 0.375 0.364 0.489
Hg3 0.636 0.125 0.011
Hg4 0.875 0.886 0.511
Pb1 0.250 0.750 0.500
Pb2 0.500 0.500 0.000

Values from the calculation:
* E_form: 103 meV per atom
* symmetry: I-42d
* final energy: -3.112 eV per atom
* density of states at the Fermi level: 0.192 states/eV/atom

***

(20)
VASP calculation (PBE) on an optimized crystal structure of K2AlAs.

Unit cell a=3.229 b=3.229 c=10.982 alpha=90.00 beta=90.00 gamma=90.00
Sites, in units of the cell vectors:
K1 0.000 0.000 0.221
K2 0.000 0.000 0.779
Al1 0.500 0.500 0.500
As1 0.500 0.500 0.000

Values from the calculation:
* E_form: 164 meV per atom
* symmetry: P4/mmm
* final energy: -2.483 eV per atom
* density of states at the Fermi level: 0.443 states/eV/atom
* relative energy among the computed polymorphs: 429.6 meV per atom

***

(21)
VASP calculation (PBE) on an optimized crystal structure of LiY2Ho.

Unit cell a=5.483 b=5.483 c=5.483 alpha=60.00 beta=60.00 gamma=60.00
Sites, in units of the cell vectors:
Li1 0.000 0.000 0.000
Y1 0.250 0.250 0.250
Y2 0.750 0.750 0.750
Ho1 0.500 0.500 0.500

Values from the calculation:
* E_form: 176 meV per atom
* symmetry: Fm-3m
* final energy: -4.679 eV per atom
* density of states at the Fermi level: 0.820 states/eV/atom
* relative energy among the computed polymorphs: 114.2 meV per atom

***

(22)
VASP calculation (PBE) on an optimized crystal structure of CsLa.

Unit cell a=11.882 b=7.714 c=6.810 alpha=90.00 beta=90.00 gamma=90.00
Sites, in units of the cell vectors:
Cs1 0.000 0.008 0.000
Cs2 0.167 0.001 0.500
Cs3 0.333 0.999 0.000
Cs4 0.500 0.992 0.500
Cs5 0.667 0.999 0.000
Cs6 0.833 0.001 0.500
La1 0.000 0.503 0.683
La2 0.167 0.503 0.161
La3 0.333 0.497 0.661
La4 0.500 0.497 0.183
La5 0.667 0.497 0.661
La6 0.833 0.503 0.161

Values from the calculation:
* E_form: 565 meV per atom
* symmetry: Pmn2_1
* final energy: -2.326 eV per atom
* density of states at the Fermi level: 1.715 states/eV/atom

***

(23)
VASP calculation (PBE) on an optimized crystal structure of VTcGe.

Unit cell a=4.297 b=4.297 c=2.729 alpha=90.00 beta=90.00 gamma=120.00
Sites, in units of the cell vectors:
V1 0.000 0.000 0.000
Tc1 0.667 0.333 0.362
Ge1 0.333 0.667 0.478

Values from the calculation:
* E_form: -92 meV per atom
* symmetry: P3m1
* final energy: -8.126 eV per atom
* density of states at the Fermi level: 0.799 states/eV/atom
* relative energy among the computed polymorphs: 124.0 meV per atom

***

(24)
VASP calculation (PBE) on an optimized crystal structure of La2ZrAu.

Unit cell a=3.619 b=3.619 c=8.690 alpha=90.00 beta=90.00 gamma=90.00
Sites, in units of the cell vectors:
La1 0.000 0.000 0.230
La2 0.000 0.000 0.770
Zr1 0.500 0.500 0.500
Au1 0.500 0.500 0.000

Values from the calculation:
* E_form: -257 meV per atom
* symmetry: P4/mmm
* final energy: -5.677 eV per atom
* density of states at the Fermi level: 1.004 states/eV/atom
* relative energy among the computed polymorphs: 3.9 meV per atom